Version i
Computed, not measured: a geometry-optimized K2H2I structure at the PBE level of DFT.

Structure (CIF):
```
data_K2H2I
_cell_length_a 9.465
_cell_length_b 9.465
_cell_length_c 5.575
_cell_angle_alpha 90.00
_cell_angle_beta 90.00
_cell_angle_gamma 90.00
_symmetry_space_group_name_H-M 'P 1'
_symmetry_Int_Tables_number 1
_symmetry_space_group_name_Hall 'P 1'
loop_
_atom_site_label
_atom_site_fract_x
_atom_site_fract_y
_atom_site_fract_z
K1 0.197 0.303 0.000
K2 0.303 0.803 0.000
K3 0.697 0.197 0.000
K4 0.803 0.697 0.000
H1 0.028 0.528 0.500
H2 0.472 0.028 0.500
H3 0.528 0.972 0.500
H4 0.972 0.472 0.500
I1 0.000 0.000 0.000
I2 0.500 0.500 0.000
```

Summary:
The symmetry is P4/mbm, No. 127. As for the crystal system: tetragonal. The value obtained for the theoretical density is 1.377 g/cm3.

Version ii
Computed, not measured: a geometry-optimized K2H2I structure at the PBE level of DFT.

Structure (CIF):
```
data_K2H2I
_cell_length_a 5.132
_cell_length_b 5.132
_cell_length_c 9.105
_cell_angle_alpha 111.60
_cell_angle_beta 111.60
_cell_angle_gamma 59.51
_symmetry_space_group_name_H-M 'P 1'
_symmetry_Int_Tables_number 1
_symmetry_space_group_name_Hall 'P 1'
loop_
_atom_site_label
_atom_site_fract_x
_atom_site_fract_y
_atom_site_fract_z
K1 0.225 0.225 0.246
K2 0.775 0.775 0.754
H1 0.459 0.459 0.005
H2 0.541 0.541 0.995
I1 0.000 0.000 0.500
```

Summary:
The symmetry is C2/m, No. 12. As for the crystal system: monoclinic. The value obtained for the theoretical density is 1.837 g/cm3.

Version iii
Computed, not measured: a geometry-optimized K2H2I structure at the PBE level of DFT.

Structure (CIF):
```
data_K2H2I
_cell_length_a 8.156
_cell_length_b 8.156
_cell_length_c 8.156
_cell_angle_alpha 149.34
_cell_angle_beta 149.34
_cell_angle_gamma 43.91
_symmetry_space_group_name_H-M 'P 1'
_symmetry_Int_Tables_number 1
_symmetry_space_group_name_Hall 'P 1'
loop_
_atom_site_label
_atom_site_fract_x
_atom_site_fract_y
_atom_site_fract_z
K1 0.135 0.135 0.000
K2 0.865 0.865 0.000
H1 0.250 0.750 0.500
H2 0.750 0.250 0.500
I1 0.500 0.500 0.000
```

Summary:
The symmetry is I4/mmm, No. 139. As for the crystal system: tetragonal. The value obtained for the theoretical density is 2.445 g/cm3.

Referenced to the most stable arrangement, the calculated values in meV per atom are version i 69; version ii 0; version iii 254.

Version i
Computed, not measured: a geometry-optimized KHIN2 structure at the PBE level of DFT.

Structure (CIF):
```
data_KHIN2
_cell_length_a 5.273
_cell_length_b 5.273
_cell_length_c 3.931
_cell_angle_alpha 90.00
_cell_angle_beta 90.00
_cell_angle_gamma 90.00
_symmetry_space_group_name_H-M 'P 1'
_symmetry_Int_Tables_number 1
_symmetry_space_group_name_Hall 'P 1'
loop_
_atom_site_label
_atom_site_fract_x
_atom_site_fract_y
_atom_site_fract_z
K1 0.000 0.000 0.000
H1 0.500 0.500 0.500
I1 0.500 0.500 0.000
N1 0.000 0.500 0.500
N2 0.500 0.000 0.500
```

Summary:
The symmetry is P4/mmm, No. 123. As for the crystal system: tetragonal. The value obtained for the theoretical density is 2.962 g/cm3.

Version ii
Computed, not measured: a geometry-optimized KHIN2 structure at the PBE level of DFT.

Structure (CIF):
```
data_KHIN2
_cell_length_a 6.071
_cell_length_b 6.071
_cell_length_c 6.503
_cell_angle_alpha 90.00
_cell_angle_beta 90.00
_cell_angle_gamma 90.00
_symmetry_space_group_name_H-M 'P 1'
_symmetry_Int_Tables_number 1
_symmetry_space_group_name_Hall 'P 1'
loop_
_atom_site_label
_atom_site_fract_x
_atom_site_fract_y
_atom_site_fract_z
K1 0.000 0.000 0.000
H1 0.500 0.500 0.500
I1 0.000 0.000 0.500
N1 0.000 0.500 0.000
N2 0.500 0.000 0.000
```

Summary:
The symmetry is P4/mmm, No. 123. As for the crystal system: tetragonal. The value obtained for the theoretical density is 1.351 g/cm3.

Referenced to the most stable arrangement, the calculated values in meV per atom are version i 0; version ii 433.

Version i
Computed, not measured: a geometry-optimized KHI2N structure at the PBE level of DFT.

Structure (CIF):
```
data_KHI2N
_cell_length_a 6.744
_cell_length_b 6.744
_cell_length_c 6.342
_cell_angle_alpha 90.00
_cell_angle_beta 90.00
_cell_angle_gamma 90.00
_symmetry_space_group_name_H-M 'P 1'
_symmetry_Int_Tables_number 1
_symmetry_space_group_name_Hall 'P 1'
loop_
_atom_site_label
_atom_site_fract_x
_atom_site_fract_y
_atom_site_fract_z
K1 0.000 0.000 0.000
H1 0.500 0.500 0.500
I1 0.000 0.500 0.000
I2 0.500 0.000 0.000
N1 0.000 0.000 0.500
```

Summary:
The symmetry is P4/mmm, No. 123. As for the crystal system: tetragonal. The value obtained for the theoretical density is 1.772 g/cm3.

Version ii
Computed, not measured: a geometry-optimized KHI2N structure at the PBE level of DFT.

Structure (CIF):
```
data_KHI2N
_cell_length_a 6.561
_cell_length_b 6.561
_cell_length_c 3.081
_cell_angle_alpha 90.00
_cell_angle_beta 90.00
_cell_angle_gamma 90.00
_symmetry_space_group_name_H-M 'P 1'
_symmetry_Int_Tables_number 1
_symmetry_space_group_name_Hall 'P 1'
loop_
_atom_site_label
_atom_site_fract_x
_atom_site_fract_y
_atom_site_fract_z
K1 0.000 0.000 0.000
H1 0.500 0.500 0.500
I1 0.000 0.500 0.500
I2 0.500 0.000 0.500
N1 0.500 0.500 0.000
```

Summary:
The symmetry is P4/mmm, No. 123. As for the crystal system: tetragonal. The value obtained for the theoretical density is 3.856 g/cm3.

Referenced to the most stable arrangement, the calculated values in meV per atom are version i 671; version ii 0.

Version i
Computed, not measured: a geometry-optimized KSb2HI structure at the PBE level of DFT.

Structure (CIF):
```
data_KSb2HI
_cell_length_a 4.540
_cell_length_b 4.540
_cell_length_c 7.720
_cell_angle_alpha 90.00
_cell_angle_beta 90.00
_cell_angle_gamma 90.00
_symmetry_space_group_name_H-M 'P 1'
_symmetry_Int_Tables_number 1
_symmetry_space_group_name_Hall 'P 1'
loop_
_atom_site_label
_atom_site_fract_x
_atom_site_fract_y
_atom_site_fract_z
K1 0.000 0.000 0.000
Sb1 0.000 0.500 0.500
Sb2 0.500 0.000 0.500
H1 0.500 0.500 0.500
I1 0.500 0.500 0.000
```

Summary:
The symmetry is P4/mmm, No. 123. As for the crystal system: tetragonal. The value obtained for the theoretical density is 4.285 g/cm3.

Version ii
Computed, not measured: a geometry-optimized KSb2HI structure at the PBE level of DFT.

Structure (CIF):
```
data_KSb2HI
_cell_length_a 7.862
_cell_length_b 7.862
_cell_length_c 6.507
_cell_angle_alpha 90.00
_cell_angle_beta 90.00
_cell_angle_gamma 90.00
_symmetry_space_group_name_H-M 'P 1'
_symmetry_Int_Tables_number 1
_symmetry_space_group_name_Hall 'P 1'
loop_
_atom_site_label
_atom_site_fract_x
_atom_site_fract_y
_atom_site_fract_z
K1 0.000 0.000 0.000
Sb1 0.000 0.500 0.000
Sb2 0.500 0.000 0.000
H1 0.500 0.500 0.500
I1 0.000 0.000 0.500
```

Summary:
The symmetry is P4/mmm, No. 123. As for the crystal system: tetragonal. The value obtained for the theoretical density is 1.695 g/cm3.

Referenced to the most stable arrangement, the calculated values in meV per atom are version i 0; version ii 1094.

Version i
Computed, not measured: a geometry-optimized KSbHI2 structure at the PBE level of DFT.

Structure (CIF):
```
data_KSbHI2
_cell_length_a 6.685
_cell_length_b 6.685
_cell_length_c 7.350
_cell_angle_alpha 90.00
_cell_angle_beta 90.00
_cell_angle_gamma 90.00
_symmetry_space_group_name_H-M 'P 1'
_symmetry_Int_Tables_number 1
_symmetry_space_group_name_Hall 'P 1'
loop_
_atom_site_label
_atom_site_fract_x
_atom_site_fract_y
_atom_site_fract_z
K1 0.000 0.000 0.000
Sb1 0.000 0.000 0.500
H1 0.500 0.500 0.500
I1 0.000 0.500 0.000
I2 0.500 0.000 0.000
```

Summary:
The symmetry is P4/mmm, No. 123. As for the crystal system: tetragonal. The value obtained for the theoretical density is 2.101 g/cm3.

Version ii
Computed, not measured: a geometry-optimized KSbHI2 structure at the PBE level of DFT.

Structure (CIF):
```
data_KSbHI2
_cell_length_a 6.024
_cell_length_b 6.024
_cell_length_c 4.022
_cell_angle_alpha 90.00
_cell_angle_beta 90.00
_cell_angle_gamma 90.00
_symmetry_space_group_name_H-M 'P 1'
_symmetry_Int_Tables_number 1
_symmetry_space_group_name_Hall 'P 1'
loop_
_atom_site_label
_atom_site_fract_x
_atom_site_fract_y
_atom_site_fract_z
K1 0.000 0.000 0.000
Sb1 0.500 0.500 0.000
H1 0.500 0.500 0.500
I1 0.000 0.500 0.500
I2 0.500 0.000 0.500
```

Summary:
The symmetry is P4/mmm, No. 123. As for the crystal system: tetragonal. The value obtained for the theoretical density is 4.729 g/cm3.

Referenced to the most stable arrangement, the calculated values in meV per atom are version i 891; version ii 0.

Version i
Computed, not measured: a geometry-optimized KTe2HI structure at the PBE level of DFT.

Structure (CIF):
```
data_KTe2HI
_cell_length_a 6.877
_cell_length_b 6.877
_cell_length_c 6.619
_cell_angle_alpha 90.00
_cell_angle_beta 90.00
_cell_angle_gamma 90.00
_symmetry_space_group_name_H-M 'P 1'
_symmetry_Int_Tables_number 1
_symmetry_space_group_name_Hall 'P 1'
loop_
_atom_site_label
_atom_site_fract_x
_atom_site_fract_y
_atom_site_fract_z
K1 0.000 0.000 0.000
Te1 0.000 0.500 0.000
Te2 0.500 0.000 0.000
H1 0.500 0.500 0.500
I1 0.000 0.000 0.500
```

Summary:
The symmetry is P4/mmm, No. 123. As for the crystal system: tetragonal. The value obtained for the theoretical density is 2.239 g/cm3.

Version ii
Computed, not measured: a geometry-optimized KTe2HI structure at the PBE level of DFT.

Structure (CIF):
```
data_KTe2HI
_cell_length_a 4.553
_cell_length_b 4.553
_cell_length_c 8.332
_cell_angle_alpha 90.00
_cell_angle_beta 90.00
_cell_angle_gamma 90.00
_symmetry_space_group_name_H-M 'P 1'
_symmetry_Int_Tables_number 1
_symmetry_space_group_name_Hall 'P 1'
loop_
_atom_site_label
_atom_site_fract_x
_atom_site_fract_y
_atom_site_fract_z
K1 0.000 0.000 0.000
Te1 0.000 0.500 0.500
Te2 0.500 0.000 0.500
H1 0.500 0.500 0.500
I1 0.500 0.500 0.000
```

Summary:
The symmetry is P4/mmm, No. 123. As for the crystal system: tetragonal. The value obtained for the theoretical density is 4.059 g/cm3.

Referenced to the most stable arrangement, the calculated values in meV per atom are version i 995; version ii 0.

Version i
Computed, not measured: a geometry-optimized La2H2I structure at the PBE level of DFT.

Structure (CIF):
```
data_La2H2I
_cell_length_a 7.805
_cell_length_b 7.805
_cell_length_c 7.805
_cell_angle_alpha 151.47
_cell_angle_beta 151.47
_cell_angle_gamma 40.79
_symmetry_space_group_name_H-M 'P 1'
_symmetry_Int_Tables_number 1
_symmetry_space_group_name_Hall 'P 1'
loop_
_atom_site_label
_atom_site_fract_x
_atom_site_fract_y
_atom_site_fract_z
La1 0.153 0.153 0.000
La2 0.847 0.847 0.000
H1 0.250 0.750 0.500
H2 0.750 0.250 0.500
I1 0.500 0.500 0.000
```

Summary:
The symmetry is I4/mmm, No. 139. As for the crystal system: tetragonal. The value obtained for the theoretical density is 6.239 g/cm3.

Version ii
Computed, not measured: a geometry-optimized La2H2I structure at the PBE level of DFT.

Structure (CIF):
```
data_La2H2I
_cell_length_a 4.061
_cell_length_b 4.061
_cell_length_c 7.825
_cell_angle_alpha 90.20
_cell_angle_beta 90.20
_cell_angle_gamma 59.89
_symmetry_space_group_name_H-M 'P 1'
_symmetry_Int_Tables_number 1
_symmetry_space_group_name_Hall 'P 1'
loop_
_atom_site_label
_atom_site_fract_x
_atom_site_fract_y
_atom_site_fract_z
La1 0.167 0.167 0.200
La2 0.833 0.833 0.800
H1 0.166 0.166 0.893
H2 0.834 0.834 0.107
I1 0.500 0.500 0.500
```

Summary:
The symmetry is C2/m, No. 12. As for the crystal system: monoclinic. The value obtained for the theoretical density is 6.050 g/cm3.

Referenced to the most stable arrangement, the calculated values in meV per atom are version i 41; version ii 0.

Version i
Computed, not measured: a geometry-optimized La2HI structure at the PBE level of DFT.

Structure (CIF):
```
data_La2HI
_cell_length_a 4.033
_cell_length_b 10.895
_cell_length_c 5.027
_cell_angle_alpha 90.00
_cell_angle_beta 90.00
_cell_angle_gamma 90.00
_symmetry_space_group_name_H-M 'P 1'
_symmetry_Int_Tables_number 1
_symmetry_space_group_name_Hall 'P 1'
loop_
_atom_site_label
_atom_site_fract_x
_atom_site_fract_y
_atom_site_fract_z
La1 0.000 0.070 0.000
La2 0.000 0.705 0.024
La3 0.500 0.295 0.524
La4 0.500 0.930 0.500
H1 0.000 0.881 0.757
H2 0.500 0.119 0.257
I1 0.000 0.381 0.024
I2 0.500 0.619 0.524
```

Summary:
The symmetry is Pmn2_1, No. 31. As for the crystal system: orthorhombic. The value obtained for the theoretical density is 6.100 g/cm3.

Version ii
Computed, not measured: a geometry-optimized La2HI structure at the PBE level of DFT.

Structure (CIF):
```
data_La2HI
_cell_length_a 5.310
_cell_length_b 5.310
_cell_length_c 5.310
_cell_angle_alpha 60.00
_cell_angle_beta 60.00
_cell_angle_gamma 60.00
_symmetry_space_group_name_H-M 'P 1'
_symmetry_Int_Tables_number 1
_symmetry_space_group_name_Hall 'P 1'
loop_
_atom_site_label
_atom_site_fract_x
_atom_site_fract_y
_atom_site_fract_z
La1 0.250 0.250 0.250
La2 0.750 0.750 0.750
H1 0.000 0.000 0.000
I1 0.500 0.500 0.500
```

Summary:
The symmetry is Fm-3m, No. 225. As for the crystal system: cubic. The value obtained for the theoretical density is 6.365 g/cm3.

Referenced to the most stable arrangement, the calculated values in meV per atom are version i 0; version ii 432.